Model A:
Cs2K4Tl: optimized geometry, PBE.

a = 12.531 Å, b = 12.531 Å, c = 12.531 Å
α = 147.64°, β = 147.64°, γ = 46.42°
Fractional coordinates of all 7 atoms:
Cs (0.143, 0.143, 0.000)
Cs (0.857, 0.857, 0.000)
K (0.000, 0.500, 0.500)
K (0.346, 0.346, 0.000)
K (0.500, 0.000, 0.500)
K (0.654, 0.654, 0.000)
Tl (0.500, 0.500, 0.000)



Model B:
Cs2K4Tl: optimized geometry, PBE.

a = 12.374 Å, b = 12.374 Å, c = 12.374 Å
α = 95.00°, β = 95.00°, γ = 145.66°
Fractional coordinates of all 14 atoms:
Cs (0.118, 0.618, 0.736)
Cs (0.382, 0.118, 0.500)
Cs (0.618, 0.882, 0.500)
Cs (0.882, 0.382, 0.264)
K (0.086, 0.181, 0.267)
K (0.181, 0.914, 0.095)
K (0.319, 0.414, 0.733)
K (0.414, 0.681, 0.095)
K (0.586, 0.319, 0.905)
K (0.681, 0.586, 0.267)
K (0.819, 0.086, 0.905)
K (0.914, 0.819, 0.733)
Tl (0.250, 0.250, 0.000)
Tl (0.750, 0.750, 0.000)



Most stable = model B



Model A:
CsK2Tl: optimized geometry, PBE.

a = 11.596 Å, b = 8.741 Å, c = 11.645 Å
α = 90.00°, β = 119.74°, γ = 90.00°
Fractional coordinates of all 16 atoms:
Cs (0.007, 0.003, 0.186)
Cs (0.007, 0.497, 0.686)
Cs (0.993, 0.503, 0.314)
Cs (0.993, 0.997, 0.814)
K (0.320, 0.186, 0.657)
K (0.320, 0.314, 0.157)
K (0.359, 0.743, 0.433)
K (0.359, 0.757, 0.933)
K (0.641, 0.243, 0.067)
K (0.641, 0.257, 0.567)
K (0.680, 0.686, 0.843)
K (0.680, 0.814, 0.343)
Tl (0.096, 0.634, 0.048)
Tl (0.096, 0.866, 0.548)
Tl (0.904, 0.134, 0.452)
Tl (0.904, 0.366, 0.952)



Model B:
CsK2Tl: optimized geometry, PBE.

a = 6.114 Å, b = 6.114 Å, c = 6.192 Å
α = 90.00°, β = 90.00°, γ = 90.00°
Fractional coordinates of all 4 atoms:
Cs (0.000, 0.000, 0.000)
K (0.000, 0.500, 0.500)
K (0.500, 0.000, 0.500)
Tl (0.500, 0.500, 0.000)



Model C:
CsK2Tl: optimized geometry, PBE.

a = 8.167 Å, b = 8.167 Å, c = 8.167 Å
α = 45.60°, β = 45.60°, γ = 45.60°
Fractional coordinates of all 4 atoms:
Cs (0.000, 0.000, 0.000)
K (0.542, 0.542, 0.542)
K (0.791, 0.791, 0.791)
Tl (0.198, 0.198, 0.198)



Model D:
CsK2Tl: optimized geometry, PBE.

a = 4.702 Å, b = 4.702 Å, c = 10.923 Å
α = 90.00°, β = 90.00°, γ = 90.00°
Fractional coordinates of all 4 atoms:
Cs (0.000, 0.000, 0.000)
K (0.500, 0.500, 0.325)
K (0.500, 0.500, 0.675)
Tl (0.000, 0.000, 0.500)



Most stable = model A